# PBE BaRe3Ni, relaxed
# * E above lowest polymorph: 2375 meV/atom
# * volume: 24.0 A^3/atom
# * E: -24.0 eV/cell
# * ΔE_f: 4.215 eV/atom
data_BaRe3Ni
_cell_length_a 4.932
_cell_length_b 4.932
_cell_length_c 4.932
_cell_angle_alpha 90.00
_cell_angle_beta 90.00
_cell_angle_gamma 90.00
_space_group_name_H-M_alt 'P m -3 m'
_space_group_IT_number 221
_space_group_name_Hall '-P 4 2 3'
loop_
_atom_site_label
_atom_site_type_symbol
_atom_site_fract_x
_atom_site_fract_y
_atom_site_fract_z
_atom_site_occupancy
Ba1 Ba 0.000 0.000 0.000 1
Re1 Re 0.000 0.000 0.500 1
Ni1 Ni 0.500 0.500 0.500 1

---

# PBE BaReNi2, relaxed
# * E above lowest polymorph: 1026 meV/atom
# * volume: 18.4 A^3/atom
# * E: -42.0 eV/cell
# * ΔE_f: 1.234 eV/atom
data_BaReNi2
_cell_length_a 3.946
_cell_length_b 3.946
_cell_length_c 9.432
_cell_angle_alpha 90.00
_cell_angle_beta 90.00
_cell_angle_gamma 90.00
_space_group_name_H-M_alt 'I -4 m 2'
_space_group_IT_number 119
_space_group_name_Hall 'I -4 -2'
loop_
_atom_site_label
_atom_site_type_symbol
_atom_site_fract_x
_atom_site_fract_y
_atom_site_fract_z
_atom_site_occupancy
Ba1 Ba 0.000 0.000 0.000 1
Re1 Re 0.000 0.500 0.250 1
Ni1 Ni 0.000 0.000 0.500 1
Ni2 Ni 0.000 0.500 0.750 1

---

Question: Among the records above, which one has the highest ΔE_f?
Answer: BaRe3Ni

---

Question: Which value of E does entry 1 give?
Answer: -24.0 eV/cell

---

Question: The lowest E above lowest polymorph belongs to which entry?
Answer: BaReNi2